Record 1
Below is an optimized crystal structure of Na3Zr2O6, with properties calculated at the PBE level.

## Properties
Space group: C2/m (12)

Geometry as POSCAR:
```
Na3Zr2O6
1.0
2.830 -4.863 0.000
2.830 4.863 0.000
-1.981 0.000 5.398
Na Zr O
3 2 6
Direct
0.000 0.000 0.000 Na
0.353 0.647 0.000 Na
0.647 0.353 0.000 Na
0.167 0.833 0.500 Zr
0.833 0.167 0.500 Zr
0.035 0.421 0.278 O
0.193 0.193 0.723 O
0.421 0.035 0.278 O
0.579 0.965 0.722 O
0.807 0.807 0.277 O
0.965 0.579 0.722 O
```

=====

Record 2
Below is an optimized crystal structure of Na3Zr2O6, with properties calculated at the PBE level.

## Properties
Space group: C2 (5)

Geometry as POSCAR:
```
Na3Zr2O6
1.0
2.869 -4.852 0.000
2.869 4.852 0.000
-2.079 0.000 5.392
Na Zr O
3 2 6
Direct
0.000 0.000 0.000 Na
0.500 0.500 0.500 Na
0.849 0.151 0.500 Na
0.324 0.676 0.000 Zr
0.662 0.338 0.000 Zr
0.071 0.437 0.204 O
0.296 0.311 0.785 O
0.449 0.088 0.210 O
0.563 0.929 0.796 O
0.689 0.704 0.215 O
0.912 0.551 0.790 O
```

=====

Record 3
Below is an optimized crystal structure of NaZrO2, with properties calculated at the PBE level.

## Properties
Space group: Pna2_1 (33)

Geometry as POSCAR:
```
NaZrO2
1.0
5.915 0.000 0.000
0.000 7.435 0.000
0.000 0.000 5.798
Na Zr O
4 4 8
Direct
0.083 0.118 0.000 Na
0.417 0.618 0.500 Na
0.583 0.382 0.000 Na
0.917 0.882 0.500 Na
0.038 0.651 0.027 Zr
0.462 0.151 0.527 Zr
0.538 0.849 0.027 Zr
0.962 0.349 0.527 Zr
0.021 0.597 0.367 O
0.124 0.137 0.394 O
0.376 0.637 0.894 O
0.479 0.097 0.867 O
0.521 0.903 0.367 O
0.624 0.363 0.394 O
0.876 0.863 0.894 O
0.979 0.403 0.867 O
```

=====

Record 4
Below is an optimized crystal structure of NaZrO3, with properties calculated at the PBE level.

## Properties
Space group: R-3 (148)

Geometry as POSCAR:
```
NaZrO3
1.0
2.836 1.637 4.982
-2.836 1.637 4.982
0.000 -3.274 4.982
Na Zr O
2 2 6
Direct
0.134 0.134 0.134 Na
0.866 0.866 0.866 Na
0.346 0.346 0.346 Zr
0.654 0.654 0.654 Zr
0.059 0.695 0.476 O
0.305 0.524 0.941 O
0.476 0.059 0.695 O
0.524 0.941 0.305 O
0.695 0.476 0.059 O
0.941 0.305 0.524 O
```

=====

Record 5
Below is an optimized crystal structure of NaZr2O6, with properties calculated at the PBE level.

## Properties
Space group: C2/m (12)

Geometry as POSCAR:
```
NaZr2O6
1.0
3.249 -5.199 0.000
3.249 5.199 0.000
-1.852 0.000 3.120
Na Zr O
1 2 6
Direct
0.000 0.000 0.000 Na
0.339 0.661 0.000 Zr
0.661 0.339 0.000 Zr
0.085 0.439 0.306 O
0.284 0.284 0.873 O
0.439 0.085 0.306 O
0.561 0.915 0.694 O
0.716 0.716 0.127 O
0.915 0.561 0.694 O
```

=====

Record 6
Below is an optimized crystal structure of NaZr2O4, with properties calculated at the PBE level.

## Properties
Space group: Fd-3m (227)

Geometry as POSCAR:
```
NaZr2O4
1.0
0.000 4.611 4.611
4.611 0.000 4.611
4.611 4.611 0.000
Na Zr O
2 4 8
Direct
0.125 0.125 0.125 Na
0.875 0.875 0.875 Na
0.000 0.500 0.500 Zr
0.500 0.000 0.500 Zr
0.500 0.500 0.000 Zr
0.500 0.500 0.500 Zr
0.266 0.266 0.266 O
0.266 0.266 0.701 O
0.266 0.701 0.266 O
0.299 0.734 0.734 O
0.701 0.266 0.266 O
0.734 0.299 0.734 O
0.734 0.734 0.299 O
0.734 0.734 0.734 O
```

=====

Record 7
Below is an optimized crystal structure of NaOs, with properties calculated at the PBE level.

## Properties
Space group: P6_3/mmc (194)

Geometry as POSCAR:
```
NaOs
1.0
4.480 0.000 0.000
-2.240 3.880 0.000
0.000 0.000 3.940
Na Os
2 2
Direct
0.000 0.000 0.000 Na
0.000 0.000 0.500 Na
0.333 0.667 0.250 Os
0.667 0.333 0.750 Os
```

=====

Record 8
Below is an optimized crystal structure of NaOs, with properties calculated at the PBE level.

## Properties
Space group: P6_3/mmc (194)

Geometry as POSCAR:
```
NaOs
1.0
4.359 0.000 0.000
-2.180 3.775 0.000
0.000 0.000 5.032
Na Os
2 2
Direct
0.333 0.667 0.250 Na
0.667 0.333 0.750 Na
0.000 0.000 0.000 Os
0.000 0.000 0.500 Os
```

=====

Record 9
Below is an optimized crystal structure of NaOs, with properties calculated at the PBE level.

## Properties
Space group: Fm-3m (225)

Geometry as POSCAR:
```
NaOs
1.0
0.000 2.841 2.841
2.841 0.000 2.841
2.841 2.841 0.000
Na Os
1 1
Direct
0.000 0.000 0.000 Na
0.500 0.500 0.500 Os
```

=====

Record 10
Below is an optimized crystal structure of Na2Os5, with properties calculated at the PBE level.

## Properties
Space group: R3m (160)

Geometry as POSCAR:
```
Na2Os5
1.0
2.160 1.247 7.016
-2.160 1.247 7.016
0.000 -2.494 7.016
Na Os
2 5
Direct
0.000 0.000 0.000 Na
0.481 0.481 0.481 Na
0.120 0.120 0.120 Os
0.240 0.240 0.240 Os
0.621 0.621 0.621 Os
0.738 0.738 0.738 Os
0.873 0.873 0.873 Os
```

=====

Record 11
Below is an optimized crystal structure of NaOs, with properties calculated at the PBE level.

## Properties
Space group: F-43m (216)

Geometry as POSCAR:
```
NaOs
1.0
0.000 3.272 3.272
3.272 0.000 3.272
3.272 3.272 0.000
Na Os
1 1
Direct
0.000 0.000 0.000 Na
0.750 0.750 0.750 Os
```

=====

Record 12
Below is an optimized crystal structure of NaOs2, with properties calculated at the PBE level.

## Properties
Space group: Fd-3m (227)

Geometry as POSCAR:
```
NaOs2
1.0
0.000 3.709 3.709
3.709 0.000 3.709
3.709 3.709 0.000
Na Os
2 4
Direct
0.125 0.125 0.125 Na
0.875 0.875 0.875 Na
0.000 0.500 0.500 Os
0.500 0.000 0.500 Os
0.500 0.500 0.000 Os
0.500 0.500 0.500 Os
```

=====

Record 13
Below is an optimized crystal structure of Na3P2Os, with properties calculated at the PBE level.

## Properties
Space group: Ibam (72)

Geometry as POSCAR:
```
Na3P2Os
1.0
-3.420 6.439 2.909
3.420 -6.439 2.909
3.420 6.439 -2.909
Na P Os
6 4 2
Direct
0.190 0.690 0.879 Na
0.250 0.250 0.000 Na
0.310 0.190 0.500 Na
0.690 0.810 0.500 Na
0.750 0.750 0.000 Na
0.810 0.310 0.121 Na
0.100 0.309 0.409 P
0.400 0.809 0.209 P
0.600 0.191 0.791 P
0.900 0.691 0.591 P
0.250 0.750 0.500 Os
0.750 0.250 0.500 Os
```

=====

Record 14
Below is an optimized crystal structure of NaPaOs, with properties calculated at the PBE level.

## Properties
Space group: F-43m (216)

Geometry as POSCAR:
```
NaPaOs
1.0
0.000 3.258 3.258
3.258 0.000 3.258
3.258 3.258 0.000
Na Pa Os
1 1 1
Direct
0.000 0.000 0.000 Na
0.500 0.500 0.500 Pa
0.250 0.250 0.250 Os
```

=====

Record 15
Below is an optimized crystal structure of NaSbOsPb, with properties calculated at the PBE level.

## Properties
Space group: F-43m (216)

Geometry as POSCAR:
```
NaSbOsPb
1.0
0.000 3.429 3.429
3.429 0.000 3.429
3.429 3.429 0.000
Na Sb Os Pb
1 1 1 1
Direct
0.000 0.000 0.000 Na
0.750 0.750 0.750 Sb
0.500 0.500 0.500 Os
0.250 0.250 0.250 Pb
```

=====

Record 16
Below is an optimized crystal structure of NaSbOsPb, with properties calculated at the PBE level.

## Properties
Space group: F-43m (216)

Geometry as POSCAR:
```
NaSbOsPb
1.0
0.000 3.538 3.538
3.538 0.000 3.538
3.538 3.538 0.000
Na Sb Os Pb
1 1 1 1
Direct
0.000 0.000 0.000 Na
0.750 0.750 0.750 Sb
0.250 0.250 0.250 Os
0.500 0.500 0.500 Pb
```

=====

Record 17
Below is an optimized crystal structure of NaOsPd, with properties calculated at the PBE level.

## Properties
Space group: F-43m (216)

Geometry as POSCAR:
```
NaOsPd
1.0
0.000 3.057 3.057
3.057 0.000 3.057
3.057 3.057 0.000
Na Os Pd
1 1 1
Direct
0.000 0.000 0.000 Na
0.750 0.750 0.750 Os
0.250 0.250 0.250 Pd
```

=====

Record 18
Below is an optimized crystal structure of NaOsPd, with properties calculated at the PBE level.

## Properties
Space group: F-43m (216)

Geometry as POSCAR:
```
NaOsPd
1.0
0.000 3.052 3.052
3.052 0.000 3.052
3.052 3.052 0.000
Na Os Pd
1 1 1
Direct
0.000 0.000 0.000 Na
0.500 0.500 0.500 Os
0.250 0.250 0.250 Pd
```

=====

Record 19
Below is an optimized crystal structure of NaPrOs, with properties calculated at the PBE level.

## Properties
Space group: F-43m (216)

Geometry as POSCAR:
```
NaPrOs
1.0
0.000 3.364 3.364
3.364 0.000 3.364
3.364 3.364 0.000
Na Pr Os
1 1 1
Direct
0.000 0.000 0.000 Na
0.750 0.750 0.750 Pr
0.500 0.500 0.500 Os
```

=====

Record 20
Below is an optimized crystal structure of NaPrOs, with properties calculated at the PBE level.

## Properties
Space group: F-43m (216)

Geometry as POSCAR:
```
NaPrOs
1.0
0.000 3.370 3.370
3.370 0.000 3.370
3.370 3.370 0.000
Na Pr Os
1 1 1
Direct
0.000 0.000 0.000 Na
0.500 0.500 0.500 Pr
0.250 0.250 0.250 Os
```

=====

Record 21
Below is an optimized crystal structure of NaPr2Te6Os, with properties calculated at the PBE level.

## Properties
Space group: P2_1/c (14)

Geometry as POSCAR:
```
NaPr2Te6Os
1.0
7.626 0.000 0.000
0.000 7.927 0.000
-7.535 0.000 10.009
Na Pr Te Os
2 4 12 2
Direct
0.000 0.000 0.000 Na
0.000 0.500 0.500 Na
0.209 0.134 0.754 Pr
0.209 0.366 0.254 Pr
0.791 0.634 0.746 Pr
0.791 0.866 0.246 Pr
0.133 0.158 0.444 Te
0.133 0.342 0.944 Te
0.285 0.701 0.428 Te
0.285 0.799 0.928 Te
0.436 0.031 0.264 Te
0.436 0.469 0.764 Te
0.564 0.531 0.236 Te
0.564 0.969 0.736 Te
0.715 0.201 0.072 Te
0.715 0.299 0.572 Te
0.867 0.658 0.056 Te
0.867 0.842 0.556 Te
0.500 0.000 0.500 Os
0.500 0.500 0.000 Os
```

=====

Record 22
Below is an optimized crystal structure of NaOsPt, with properties calculated at the PBE level.

## Properties
Space group: F-43m (216)

Geometry as POSCAR:
```
NaOsPt
1.0
0.000 3.023 3.023
3.023 0.000 3.023
3.023 3.023 0.000
Na Os Pt
1 1 1
Direct
0.000 0.000 0.000 Na
0.750 0.750 0.750 Os
0.250 0.250 0.250 Pt
```

=====

Record 23
Below is an optimized crystal structure of NaOsPt, with properties calculated at the PBE level.

## Properties
Space group: F-43m (216)

Geometry as POSCAR:
```
NaOsPt
1.0
0.000 3.033 3.033
3.033 0.000 3.033
3.033 3.033 0.000
Na Os Pt
1 1 1
Direct
0.000 0.000 0.000 Na
0.500 0.500 0.500 Os
0.250 0.250 0.250 Pt
```

=====

Record 24
Below is an optimized crystal structure of RbNaOs, with properties calculated at the PBE level.

## Properties
Space group: F-43m (216)

Geometry as POSCAR:
```
RbNaOs
1.0
0.000 3.705 3.705
3.705 0.000 3.705
3.705 3.705 0.000
Rb Na Os
1 1 1
Direct
0.000 0.000 0.000 Rb
0.750 0.750 0.750 Na
0.250 0.250 0.250 Os
```

=====

Record 25
Below is an optimized crystal structure of RbNaOs, with properties calculated at the PBE level.

## Properties
Space group: F-43m (216)

Geometry as POSCAR:
```
RbNaOs
1.0
0.000 3.757 3.757
3.757 0.000 3.757
3.757 3.757 0.000
Rb Na Os
1 1 1
Direct
0.000 0.000 0.000 Rb
0.500 0.500 0.500 Na
0.750 0.750 0.750 Os
```

=====

Record 26
Below is an optimized crystal structure of NaZnReOs, with properties calculated at the PBE level.

## Properties
Space group: F-43m (216)

Geometry as POSCAR:
```
NaZnReOs
1.0
0.000 3.098 3.098
3.098 0.000 3.098
3.098 3.098 0.000
Na Zn Re Os
1 1 1 1
Direct
0.000 0.000 0.000 Na
0.750 0.750 0.750 Zn
0.500 0.500 0.500 Re
0.250 0.250 0.250 Os
```

=====

Record 27
Below is an optimized crystal structure of NaZnReOs, with properties calculated at the PBE level.

## Properties
Space group: F-43m (216)

Geometry as POSCAR:
```
NaZnReOs
1.0
0.000 3.090 3.090
3.090 0.000 3.090
3.090 3.090 0.000
Na Zn Re Os
1 1 1 1
Direct
0.000 0.000 0.000 Na
0.750 0.750 0.750 Zn
0.250 0.250 0.250 Re
0.500 0.500 0.500 Os
```

=====

Total DFT energy (no corrections), respectively: -7.011; -7.002; -7.185; -7.214; -7.457; -8.281; -3.745; -4.462; -3.512; -7.361; -2.976; -7.128; -4.599; -6.830; -4.716; -4.216; -4.075; -4.706; -4.678; -5.042; -4.787; -4.406; -5.233; -2.465; -2.697; -5.981; -6.030 eV/atom.